Record 1
A geometry-optimized CoIrPb2 structure. Source: the Alexandria database, functional PBE.

a = 4.754 Å, b = 4.754 Å, c = 3.390 Å
α = 90.00°, β = 90.00°, γ = 90.00°
Fractional coordinates of all 4 atoms:
Co 0.000 0.000 0.000
Ir 0.500 0.500 0.000
Pb 0.000 0.500 0.500
Pb 0.500 0.000 0.500

Values from the calculation:
- VASP energy: -5.27 eV/atom
- SG: P4/mmm (123)
- Energy above the most stable polymorph in this dataset: 273 meV per atom

=====

Record 2
A geometry-optimized CoIr2Pb structure. Source: the Alexandria database, functional PBE.

a = 5.609 Å, b = 5.609 Å, c = 5.609 Å
α = 150.52°, β = 131.55°, γ = 57.74°
Fractional coordinates of all 4 atoms:
Co 0.000 0.000 0.000
Ir 0.224 0.724 0.500
Ir 0.776 0.276 0.500
Pb 0.500 0.500 0.000

Values from the calculation:
- VASP energy: -6.64 eV/atom
- SG: Immm (71)

=====

Record 3
A geometry-optimized CoIr2PdPb structure. Source: the Alexandria database, functional PBE.

a = 4.872 Å, b = 4.872 Å, c = 4.524 Å
α = 90.00°, β = 90.00°, γ = 90.00°
Fractional coordinates of all 5 atoms:
Co 0.000 0.000 0.000
Ir 0.000 0.500 0.500
Ir 0.500 0.000 0.500
Pd 0.000 0.000 0.500
Pb 0.500 0.500 0.000

Values from the calculation:
- VASP energy: -5.27 eV/atom
- SG: P4/mmm (123)

=====

Record 4
A geometry-optimized CoIrPd2 structure. Source: the Alexandria database, functional PBE.

a = 5.529 Å, b = 5.529 Å, c = 5.529 Å
α = 102.72°, β = 102.72°, γ = 124.02°
Fractional coordinates of all 8 atoms:
Co 0.000 0.000 0.000
Co 0.750 0.250 0.500
Ir 0.250 0.750 0.500
Ir 0.500 0.500 0.000
Pd 0.105 0.625 0.980
Pd 0.375 0.355 0.480
Pd 0.645 0.125 0.020
Pd 0.875 0.895 0.520

Values from the calculation:
- VASP energy: -5.96 eV/atom
- SG: I-42d (122)

=====

Record 5
A geometry-optimized Co3IrPd structure. Source: the Alexandria database, functional PBE.

a = 4.518 Å, b = 4.518 Å, c = 4.518 Å
α = 90.00°, β = 90.00°, γ = 90.00°
Fractional coordinates of all 5 atoms:
Co 0.000 0.000 0.500
Co 0.000 0.500 0.000
Co 0.500 0.000 0.000
Ir 0.000 0.000 0.000
Pd 0.500 0.500 0.500

Values from the calculation:
- VASP energy: -5.69 eV/atom
- SG: Pm-3m (221)
- Energy above the most stable polymorph in this dataset: 1243 meV per atom

=====

Record 6
A geometry-optimized CoIr3Pd structure. Source: the Alexandria database, functional PBE.

a = 4.434 Å, b = 4.434 Å, c = 4.434 Å
α = 90.00°, β = 90.00°, γ = 90.00°
Fractional coordinates of all 5 atoms:
Co 0.000 0.000 0.000
Ir 0.000 0.000 0.500
Ir 0.000 0.500 0.000
Ir 0.500 0.000 0.000
Pd 0.500 0.500 0.500

Values from the calculation:
- VASP energy: -6.33 eV/atom
- SG: Pm-3m (221)
- Energy above the most stable polymorph in this dataset: 0 meV per atom

=====

V per entry: 19.16, 16.13, 21.47, 15.46, 18.45, 17.44 A^3/atom